16
Lattice="5.9298 0.0000 0.0000 0.0000 5.9298 0.0000 0.0000 0.0000 5.9298" Properties=species:S:1:pos:R:3 comment="LiCoIrOs PBE-GGA relaxed" formation_energy_ev_per_atom=0.150 total_magnetization_mub_per_atom=0.58 space_group="F-43m, No. 216" n_ef_per_ev_atom=0.811 energy_ev_per_cell=-114.04 pbc="T T T"
Li 0.0000 0.0000 0.0000
Li 0.0000 2.9649 2.9649
Li 2.9649 0.0000 2.9649
Li 2.9649 2.9649 0.0000
Co 1.4824 1.4824 1.4824
Co 1.4824 4.4473 4.4473
Co 4.4473 1.4824 4.4473
Co 4.4473 4.4473 1.4824
Ir 1.4824 1.4824 4.4473
Ir 1.4824 4.4473 1.4824
Ir 4.4473 1.4824 1.4824
Ir 4.4473 4.4473 4.4473
Os 0.0000 0.0000 2.9649
Os 0.0000 2.9649 0.0000
Os 2.9649 0.0000 0.0000
Os 2.9649 2.9649 2.9649